Material: SiOsBr2
Method: DFT, PBE
State: optimized geometry

a b c (Å): 5.2472 9.6405 3.4616
angles (deg): 90.00 121.14 90.00
Space group C2/m (No. 12)
Asymmetric unit:
1 Si 0.0000 0.0000 0.0000 (multiplicity 2)
2 Os 0.0000 0.5000 0.0000 (multiplicity 2)
3 Br 0.2500 0.2500 0.5000 (multiplicity 4)

Calculated values
**Energy above the lowest structure with this stoichiometry**: 1.061 eV per atom
**Electronic total energy**: -30.91 eV for the cell shown
**Size of the total moment**: 0.000 μB per formula unit
**Crystal system**: monoclinic



Material: Si2OsBr
Method: DFT, PBE
State: optimized geometry

a b c (Å): 3.0317 3.0317 7.3243
angles (deg): 90.00 90.00 90.00
Space group P4/mmm (No. 123)
Asymmetric unit:
1 Si 0.0000 0.0000 0.1960 (multiplicity 2)
2 Os 0.5000 0.5000 0.0000 (multiplicity 1)
3 Br 0.5000 0.5000 0.5000 (multiplicity 1)

Calculated values
**Energy above the lowest structure with this stoichiometry**: 0.219 eV per atom
**Electronic total energy**: -22.65 eV for the cell shown
**Size of the total moment**: 0.000 μB per formula unit
**Crystal system**: tetragonal



Material: Si2OsBr
Method: DFT, PBE
State: optimized geometry

a b c (Å): 6.3981 6.3981 6.3981
angles (deg): 90.00 90.00 90.00
Space group Fm-3m (No. 225)
Asymmetric unit:
1 Si 0.2500 0.2500 0.2500 (multiplicity 8)
2 Os 0.0000 0.0000 0.0000 (multiplicity 4)
3 Br 0.0000 0.0000 0.5000 (multiplicity 4)

Calculated values
**Energy above the lowest structure with this stoichiometry**: 1.047 eV per atom
**Electronic total energy**: -77.35 eV for the cell shown
**Size of the total moment**: 0.962 μB per formula unit
**Crystal system**: cubic



Material: Si2OsBr
Method: DFT, PBE
State: optimized geometry

a b c (Å): 8.4147 3.1925 8.6442
angles (deg): 90.00 117.64 90.00
Space group Cm (No. 8)
Asymmetric unit:
1 Si 0.0000 0.0000 0.0000 (multiplicity 2)
2 Si 0.1434 0.5000 0.7553 (multiplicity 2)
3 Os 0.2656 0.0000 0.9643 (multiplicity 2)
4 Br 0.4764 0.0000 0.4700 (multiplicity 2)

Calculated values
**Energy above the lowest structure with this stoichiometry**: 0.058 eV per atom
**Electronic total energy**: -46.58 eV for the cell shown
**Size of the total moment**: 0.000 μB per formula unit
**Crystal system**: monoclinic



Material: Si2OsBr
Method: DFT, PBE
State: optimized geometry

a b c (Å): 4.0924 4.0924 7.4655
angles (deg): 90.00 90.00 90.00
Space group I4/mmm (No. 139)
Asymmetric unit:
1 Si 0.0000 0.5000 0.2500 (multiplicity 4)
2 Os 0.0000 0.0000 0.0000 (multiplicity 2)
3 Br 0.0000 0.0000 0.5000 (multiplicity 2)

Calculated values
**Energy above the lowest structure with this stoichiometry**: 0.831 eV per atom
**Electronic total energy**: -40.40 eV for the cell shown
**Size of the total moment**: 0.000 μB per formula unit
**Crystal system**: tetragonal



Material: Si2OsBr
Method: DFT, PBE
State: optimized geometry

a b c (Å): 2.9282 4.7656 10.9110
angles (deg): 90.00 90.00 90.00
Space group Cmm2 (No. 35)
Asymmetric unit:
1 Si 0.0000 0.0000 0.0000 (multiplicity 2)
2 Si 0.0000 0.5000 0.1927 (multiplicity 2)
3 Os 0.0000 0.5000 0.8322 (multiplicity 2)
4 Br 0.0000 0.0000 0.5199 (multiplicity 2)

Calculated values
**Energy above the lowest structure with this stoichiometry**: 0.630 eV per atom
**Electronic total energy**: -42.01 eV for the cell shown
**Size of the total moment**: 0.000 μB per formula unit
**Crystal system**: orthorhombic



Material: Si2OsBr
Method: DFT, PBE
State: optimized geometry

a b c (Å): 3.2493 3.2493 22.5405
angles (deg): 90.00 90.00 120.00
Space group R-3m (No. 166, hexagonal axes)
Asymmetric unit:
1 Si 0.0000 0.0000 0.2376 (multiplicity 6)
2 Os 0.0000 0.0000 0.5000 (multiplicity 3)
3 Br 0.0000 0.0000 0.0000 (multiplicity 3)

Calculated values
**Energy above the lowest structure with this stoichiometry**: 0.165 eV per atom
**Electronic total energy**: -68.60 eV for the cell shown
**Size of the total moment**: 0.000 μB per formula unit
**Crystal system**: trigonal



Material: Si2OsBr
Method: DFT, PBE
State: optimized geometry

a b c (Å): 2.9129 3.8313 15.7236
angles (deg): 90.00 90.00 90.00
Space group Imm2 (No. 44)
Asymmetric unit:
1 Si 0.0000 0.0000 0.0000 (multiplicity 2)
2 Si 0.0000 0.5000 0.1511 (multiplicity 2)
3 Os 0.0000 0.0000 0.5285 (multiplicity 2)
4 Br 0.0000 0.5000 0.7666 (multiplicity 2)

Calculated values
**Energy above the lowest structure with this stoichiometry**: 0.249 eV per atom
**Electronic total energy**: -45.06 eV for the cell shown
**Size of the total moment**: 0.000 μB per formula unit
**Crystal system**: orthorhombic



Material: SiOsBr4
Method: DFT, PBE
State: optimized geometry

a b c (Å): 8.5973 8.5973 8.5973
angles (deg): 90.00 90.00 90.00
Space group F-43m (No. 216)
Asymmetric unit:
1 Si 0.0000 0.0000 0.0000 (multiplicity 4)
2 Os 0.2500 0.2500 0.2500 (multiplicity 4)
3 Br 0.1243 0.1243 0.6243 (multiplicity 16)

Calculated values
**Electronic total energy**: -50.66 eV for the cell shown
**Size of the total moment**: 3.259 μB per formula unit
**Crystal system**: cubic



Material: Sm6SiOs2Br3
Method: DFT, PBE
State: optimized geometry

a b c (Å): 7.1878 12.4629 7.9946
angles (deg): 90.00 107.56 90.00
Space group C2/m (No. 12)
Asymmetric unit:
1 Sm 0.2168 0.0000 0.1988 (multiplicity 4)
2 Sm 0.2406 0.3250 0.1986 (multiplicity 8)
3 Si 0.0000 0.5000 0.0000 (multiplicity 2)
4 Os 0.0000 0.1667 0.0000 (multiplicity 4)
5 Br 0.0000 0.0000 0.5000 (multiplicity 2)
6 Br 0.0000 0.3359 0.5000 (multiplicity 4)

Calculated values
**Electronic total energy**: -141.47 eV for the cell shown
**Size of the total moment**: 0.000 μB per formula unit
**Crystal system**: monoclinic



Material: SrSi2OsBr
Method: DFT, PBE
State: optimized geometry

a b c (Å): 5.7565 5.7565 5.5055
angles (deg): 90.00 90.00 90.00
Space group P4/mmm (No. 123)
Asymmetric unit:
1 Sr 0.0000 0.0000 0.0000 (multiplicity 1)
2 Si 0.0000 0.5000 0.0000 (multiplicity 2)
3 Os 0.0000 0.0000 0.5000 (multiplicity 1)
4 Br 0.5000 0.5000 0.5000 (multiplicity 1)

Calculated values
**Electronic total energy**: -14.20 eV for the cell shown
**Size of the total moment**: 1.326 μB per formula unit
**Crystal system**: tetragonal



Material: ZrSi2OsBr
Method: DFT, PBE
State: optimized geometry

a b c (Å): 5.1745 5.1745 5.0381
angles (deg): 90.00 90.00 90.00
Space group P4/mmm (No. 123)
Asymmetric unit:
1 Zr 0.0000 0.0000 0.0000 (multiplicity 1)
2 Si 0.0000 0.5000 0.0000 (multiplicity 2)
3 Os 0.5000 0.5000 0.5000 (multiplicity 1)
4 Br 0.0000 0.0000 0.5000 (multiplicity 1)

Calculated values
**Electronic total energy**: -24.22 eV for the cell shown
**Size of the total moment**: 3.144 μB per formula unit
**Crystal system**: tetragonal